[1]
VASP calculation (PBE-GGA) on TbPrAsO after structural relaxation.

- total moment (μB per atom) = 0.00
- energy above the most stable polymorph in this dataset (meV/atom) = 0

Lattice parameters (Å, degrees): 4.3566 7.6305 6.1797 90.00 90.00 90.00
With the nearest neighbours (Å) after each atom.
Fractional positions:
Tb1 0.5000 0.3934 0.0187  2 O 2.23-2.25
Tb2 0.5000 0.6066 0.5187  2 O 2.23-2.25
O1 0.5000 0.3374 0.3722  2 Tb 2.23-2.25, 2 Pr 2.44
O2 0.5000 0.6626 0.8722  2 Tb 2.23-2.25, 2 Pr 2.44
As1 0.0000 0.1799 0.9280  2 Tb 2.78, 2 Pr 2.92-3.05
As2 0.0000 0.8201 0.4280  2 Tb 2.78, 2 Pr 2.92-3.05
Pr1 0.0000 0.7979 0.9350  2 O 2.44
Pr2 0.0000 0.2021 0.4350  2 O 2.44


[2]
VASP calculation (PBE-GGA) on TbPrAsO after structural relaxation.

- total moment (μB per atom) = 0.05
- energy above the most stable polymorph in this dataset (meV/atom) = 169

Lattice parameters (Å, degrees): 4.3281 4.3281 9.2717 90.00 90.00 90.00
With the nearest neighbours (Å) after each atom.
Fractional positions:
As1 0.7500 0.7500 0.2790  4 Pr 2.98
As2 0.2500 0.2500 0.7210  4 Pr 2.98
O1 0.7500 0.2500 0.0000  4 Tb 2.34
O2 0.2500 0.7500 0.0000  4 Tb 2.34
Pr1 0.7500 0.2500 0.5000  4 As 2.98, 4 Pr 3.06
Pr2 0.2500 0.7500 0.5000  4 As 2.98, 4 Pr 3.06
Tb1 0.2500 0.2500 0.0961  4 O 2.34
Tb2 0.7500 0.7500 0.9039  4 O 2.34


[3]
VASP calculation (PBE-GGA) on TbPrAsO after structural relaxation.

- total moment (μB per atom) = 0.00
- energy above the most stable polymorph in this dataset (meV/atom) = 67

Lattice parameters (Å, degrees): 4.4294 4.4294 9.1478 90.00 90.00 90.00
With the nearest neighbours (Å) after each atom.
Fractional positions:
Pr1 0.7500 0.7500 0.8899  4 O 2.43
Pr2 0.2500 0.2500 0.1101  4 O 2.43
O1 0.7500 0.2500 0.0000  4 Pr 2.43
O2 0.2500 0.7500 0.0000  4 Pr 2.43
Tb1 0.7500 0.2500 0.5000  4 As 2.86, 4 Tb 3.13
Tb2 0.2500 0.7500 0.5000  4 As 2.86, 4 Tb 3.13
As1 0.2500 0.2500 0.6975  4 Tb 2.86
As2 0.7500 0.7500 0.3025  4 Tb 2.86


[4]
VASP calculation (PBE-GGA) on TbPrAsO after structural relaxation.

- total moment (μB per atom) = 0.09
- energy above the most stable polymorph in this dataset (meV/atom) = 56

Lattice parameters (Å, degrees): 4.1906 8.1011 5.7466 90.00 90.00 90.00
With the nearest neighbours (Å) after each atom.
Fractional positions:
Pr1 0.5000 0.3787 0.9780  2 O 2.46-2.47
Pr2 0.5000 0.6213 0.4780  2 O 2.46-2.47
Tb1 0.0000 0.2074 0.4389  2 O 2.30
Tb2 0.0000 0.7926 0.9389  2 O 2.30
As1 0.0000 0.8569 0.4358  3 Tb 2.84-2.94, 2 Pr 2.84
As2 0.0000 0.1431 0.9358  3 Tb 2.84-2.94, 2 Pr 2.84
O1 0.5000 0.3226 0.4013  2 Tb 2.30, 2 Pr 2.46-2.47
O2 0.5000 0.6774 0.9013  2 Tb 2.30, 2 Pr 2.46-2.47


[5]
VASP calculation (PBE-GGA) on TbPrAsO after structural relaxation.

- total moment (μB per atom) = 0.02
- energy above the most stable polymorph in this dataset (meV/atom) = 169

Lattice parameters (Å, degrees): 4.3268 4.3268 9.2770 90.00 90.00 90.00
With the nearest neighbours (Å) after each atom.
Fractional positions:
Tb1 0.5000 0.0000 0.0965  4 O 2.34
Tb2 0.0000 0.5000 0.9035  4 O 2.34
As1 0.5000 0.0000 0.7209  4 Pr 2.98
As2 0.0000 0.5000 0.2791  4 Pr 2.98
O1 0.0000 0.0000 0.0000  4 Tb 2.34
O2 0.5000 0.5000 0.0000  4 Tb 2.34
Pr1 0.5000 0.5000 0.5000  4 As 2.98, 4 Pr 3.06
Pr2 0.0000 0.0000 0.5000  4 As 2.98, 4 Pr 3.06


[6]
VASP calculation (PBE-GGA) on PrTeAsO after structural relaxation.

- total moment (μB per atom) = 0.00
- energy above the most stable polymorph in this dataset (meV/atom) = 3

Lattice parameters (Å, degrees): 3.7972 6.2303 7.9410 90.00 90.00 90.00
With the nearest neighbours (Å) after each atom.
Fractional positions:
As1 0.0000 0.4349 0.3240  4 Te 2.73-3.00
As2 0.0000 0.5651 0.8240  4 Te 2.73-3.00
Pr1 0.0000 0.9047 0.5041  2 O 2.23
Pr2 0.0000 0.0953 0.0041  2 O 2.23
Te1 0.5000 0.3862 0.5675  4 As 2.73-3.00, 1 O 3.05
Te2 0.5000 0.6138 0.0675  4 As 2.73-3.00, 1 O 3.05
O1 0.5000 0.9326 0.3585  2 Pr 2.23
O2 0.5000 0.0674 0.8585  2 Pr 2.23


[7]
VASP calculation (PBE-GGA) on PrTeAsO after structural relaxation.

- total moment (μB per atom) = 0.00
- energy above the most stable polymorph in this dataset (meV/atom) = 27

Lattice parameters (Å, degrees): 5.9376 7.2085 5.9857 90.00 90.00 90.00
With the nearest neighbours (Å) after each atom.
Fractional positions:
As1 0.0000 0.6830 0.9746  1 Te 2.58
As2 0.0000 0.3170 0.4746  1 Te 2.58
Pr1 0.5000 0.1957 0.4959  2 O 2.12
Pr2 0.5000 0.8043 0.9959  2 O 2.12
O1 0.5000 0.9468 0.3064  2 Pr 2.12
O2 0.5000 0.0532 0.8064  2 Pr 2.12
Te1 0.0000 0.3246 0.9771  1 As 2.58
Te2 0.0000 0.6754 0.4771  1 As 2.58


[8]
VASP calculation (PBE-GGA) on PrTeAsO after structural relaxation.

- total moment (μB per atom) = 0.00
- energy above the most stable polymorph in this dataset (meV/atom) = 0

Lattice parameters (Å, degrees): 4.1700 4.1700 10.7256 90.00 90.00 90.00
With the nearest neighbours (Å) after each atom.
Fractional positions:
Pr1 0.7500 0.7500 0.8927  4 O 2.38
Pr2 0.2500 0.2500 0.1073  4 O 2.38
As1 0.7500 0.7500 0.2737  4 Te 3.20, 4 Pr 3.45
As2 0.2500 0.2500 0.7263  4 Te 3.20, 4 Pr 3.45
O1 0.7500 0.2500 0.0000  4 Pr 2.38
O2 0.2500 0.7500 0.0000  4 Pr 2.38
Te1 0.7500 0.2500 0.5000  4 Te 2.95, 4 As 3.20
Te2 0.2500 0.7500 0.5000  4 Te 2.95, 4 As 3.20


[9]
VASP calculation (PBE-GGA) on PrTeAsO after structural relaxation.

- total moment (μB per atom) = 0.00
- energy above the most stable polymorph in this dataset (meV/atom) = 923

Lattice parameters (Å, degrees): 4.9448 4.9448 7.5783 90.00 90.00 90.00
With the nearest neighbours (Å) after each atom.
Fractional positions:
Pr1 0.7500 0.2500 0.5000  4 As 2.88
Pr2 0.2500 0.7500 0.5000  4 As 2.88
O1 0.7500 0.2500 0.0000  4 Te 2.50
O2 0.2500 0.7500 0.0000  4 Te 2.50
As1 0.2500 0.2500 0.6949  1 Te 2.68, 4 Pr 2.88
As2 0.7500 0.7500 0.3051  1 Te 2.68, 4 Pr 2.88
Te1 0.2500 0.2500 0.0488  4 O 2.50, 1 As 2.68
Te2 0.7500 0.7500 0.9512  4 O 2.50, 1 As 2.68


[10]
VASP calculation (PBE-GGA) on PrTeAsO after structural relaxation.

- total moment (μB per atom) = 0.00
- energy above the most stable polymorph in this dataset (meV/atom) = 559

Lattice parameters (Å, degrees): 5.7253 5.7253 5.2829 90.00 90.00 90.00
With the nearest neighbours (Å) after each atom.
Fractional positions:
Te1 0.2500 0.2500 0.1418  2 As 2.54-2.75
Te2 0.7500 0.7500 0.8582  2 As 2.54-2.75
O1 0.7500 0.2500 0.0000  2 Pr 2.64
O2 0.2500 0.7500 0.0000  2 Pr 2.64
As1 0.2500 0.2500 0.6619  2 Te 2.54-2.75
As2 0.7500 0.7500 0.3381  2 Te 2.54-2.75
Pr1 0.7500 0.2500 0.5000  2 O 2.64
Pr2 0.2500 0.7500 0.5000  2 O 2.64


[11]
VASP calculation (PBE-GGA) on PrTlAsO after structural relaxation.

- total moment (μB per atom) = 0.00
- energy above the most stable polymorph in this dataset (meV/atom) = 233

Lattice parameters (Å, degrees): 4.2149 8.2464 6.1423 90.00 90.00 90.00
With the nearest neighbours (Å) after each atom.
Fractional positions:
Tl1 0.5000 0.1206 0.4806  2 O 2.60-2.72, 2 As 2.76
Tl2 0.5000 0.8794 0.9806  2 O 2.60-2.72, 2 As 2.76
As1 0.0000 0.6672 0.9275  2 Tl 2.76, 2 Pr 3.00-3.05
As2 0.0000 0.3328 0.4275  2 Tl 2.76, 2 Pr 3.00-3.05
Pr1 0.0000 0.3030 0.9324  2 O 2.30
Pr2 0.0000 0.6970 0.4324  2 O 2.30
O1 0.5000 0.8088 0.4135  2 Pr 2.30
O2 0.5000 0.1912 0.9135  2 Pr 2.30


[12]
VASP calculation (PBE-GGA) on PrTlAsO after structural relaxation.

- total moment (μB per atom) = 0.00
- energy above the most stable polymorph in this dataset (meV/atom) = 313

Lattice parameters (Å, degrees): 6.0912 6.0912 5.1216 90.00 90.00 90.00
With the nearest neighbours (Å) after each atom.
Fractional positions:
O1 0.0000 0.0000 0.0000  2 Pr 2.56
O2 0.5000 0.5000 0.0000  2 Pr 2.56
Pr1 0.0000 0.0000 0.5000  2 O 2.56
Pr2 0.5000 0.5000 0.5000  2 O 2.56
Tl1 0.0000 0.5000 0.9915  2 As 2.56
Tl2 0.5000 0.0000 0.0085  2 As 2.56
As1 0.0000 0.5000 0.4908  2 Tl 2.56
As2 0.5000 0.0000 0.5092  2 Tl 2.56


[13]
VASP calculation (PBE-GGA) on PrTlAsO after structural relaxation.

- total moment (μB per atom) = 0.04
- energy above the most stable polymorph in this dataset (meV/atom) = 0

Lattice parameters (Å, degrees): 4.3284 4.3284 9.7739 90.00 90.00 90.00
With the nearest neighbours (Å) after each atom.
Fractional positions:
Pr1 0.0000 0.5000 0.8887  4 O 2.42
Pr2 0.5000 0.0000 0.1113  4 O 2.42
As1 0.5000 0.0000 0.7162  4 Tl 3.02
As2 0.0000 0.5000 0.2838  4 Tl 3.02
Tl1 0.0000 0.0000 0.5000  4 As 3.02, 4 Tl 3.06
Tl2 0.5000 0.5000 0.5000  4 As 3.02, 4 Tl 3.06
O1 0.0000 0.0000 0.0000  4 Pr 2.42
O2 0.5000 0.5000 0.0000  4 Pr 2.42


[14]
VASP calculation (PBE-GGA) on PrTlAsO after structural relaxation.

- total moment (μB per atom) = 0.00
- energy above the most stable polymorph in this dataset (meV/atom) = 146

Lattice parameters (Å, degrees): 5.7933 5.8082 6.0904 90.00 90.00 90.00
With the nearest neighbours (Å) after each atom.
Fractional positions:
Pr1 0.5000 0.2975 0.0352  2 O 2.21-2.22
Pr2 0.5000 0.7025 0.5352  2 O 2.21-2.22
O1 0.5000 0.6490 0.8961  2 Pr 2.21-2.22
O2 0.5000 0.3510 0.3961  2 Pr 2.21-2.22
Tl1 0.0000 0.2747 0.4212  4 As 2.90-3.18, 2 O 2.93
Tl2 0.0000 0.7253 0.9212  4 As 2.90-3.18, 2 O 2.93
As1 0.0000 0.2237 0.9014  4 Tl 2.90-3.18, 2 Pr 3.04
As2 0.0000 0.7763 0.4014  4 Tl 2.90-3.18, 2 Pr 3.04


[15]
VASP calculation (PBE-GGA) on AsPt2O4 after structural relaxation.

- energy (eV/cell) = -75.1
- total moment (μB per atom) = 0.00

Lattice parameters (Å, degrees): 6.4059 6.4059 6.4059 119.99 90.02 119.99
With the nearest neighbours (Å) after each atom.
Fractional positions:
Pt1 0.3750 0.2500 0.6250  6 O 2.14
Pt2 0.8750 0.2500 0.6250  6 O 2.14
Pt3 0.3750 0.7500 0.6250  6 O 2.14
Pt4 0.3750 0.7500 0.1250  6 O 2.14
O1 0.1685 0.7790 0.3895  3 Pt 2.14, 1 As 2.19
O2 0.5815 0.7210 0.8605  3 Pt 2.14, 1 As 2.19
O3 0.1395 0.7210 0.8604  3 Pt 2.14, 1 As 2.19
O4 0.6105 0.7790 0.3896  3 Pt 2.14, 1 As 2.19
O5 0.6104 0.2210 0.3895  3 Pt 2.14, 1 As 2.19
O6 0.6105 0.2210 0.8315  3 Pt 2.14, 1 As 2.19
O7 0.1396 0.2790 0.8605  3 Pt 2.14, 1 As 2.19
O8 0.1395 0.2790 0.4185  3 Pt 2.14, 1 As 2.19
As1 0.7500 0.5000 0.2500  4 O 2.19
As2 0.0000 0.0000 0.0000  4 O 2.19


[16]
VASP calculation (PBE-GGA) on RbAsPtO after structural relaxation.

- total moment (μB per atom) = 0.11
- energy above the most stable polymorph in this dataset (meV/atom) = 23

Lattice parameters (Å, degrees): 3.8339 5.9631 8.0930 90.00 90.00 90.00
With the nearest neighbours (Å) after each atom.
Fractional positions:
Rb1 0.5000 0.1473 0.6052  2 O 2.80-2.90
Rb2 0.5000 0.8527 0.1052  2 O 2.80-2.90
As1 0.0000 0.3309 0.2580  2 Pt 2.39-2.47
As2 0.0000 0.6691 0.7580  2 Pt 2.39-2.47
Pt1 0.0000 0.3697 0.9541  2 O 1.99
Pt2 0.0000 0.6303 0.4541  2 O 1.99
O1 0.5000 0.7184 0.4368  2 Pt 1.99
O2 0.5000 0.2816 0.9368  2 Pt 1.99


[17]
VASP calculation (PBE-GGA) on RbAsPtO after structural relaxation.

- total moment (μB per atom) = 0.29
- energy above the most stable polymorph in this dataset (meV/atom) = 137

Lattice parameters (Å, degrees): 4.3032 4.3032 10.7206 90.00 90.00 90.00
With the nearest neighbours (Å) after each atom.
Fractional positions:
Pt1 0.5000 0.5000 0.5000  4 As 2.50
Pt2 0.0000 0.0000 0.5000  4 As 2.50
Rb1 0.5000 0.0000 0.1541  4 O 2.71
Rb2 0.0000 0.5000 0.8459  4 O 2.71
O1 0.5000 0.5000 0.0000  4 Rb 2.71
O2 0.0000 0.0000 0.0000  4 Rb 2.71
As1 0.5000 0.0000 0.6182  4 Pt 2.50
As2 0.0000 0.5000 0.3818  4 Pt 2.50


[18]
VASP calculation (PBE-GGA) on RbAsPtO after structural relaxation.

- total moment (μB per atom) = 0.00
- energy above the most stable polymorph in this dataset (meV/atom) = 0

Lattice parameters (Å, degrees): 3.5129 8.0574 6.3066 90.00 90.00 90.00
With the nearest neighbours (Å) after each atom.
Fractional positions:
Pt1 0.5000 0.8261 0.0004  2 O 2.10-2.12
Pt2 0.5000 0.1739 0.5004  2 O 2.10-2.12
As1 0.0000 0.3753 0.4982  2 Pt 2.39
As2 0.0000 0.6247 0.9982  2 Pt 2.39
Rb1 0.0000 0.8018 0.5017  4 O 2.84-2.86
Rb2 0.0000 0.1982 0.0017  4 O 2.84-2.86
O1 0.5000 0.9986 0.2538  2 Pt 2.10-2.12
O2 0.5000 0.0014 0.7538  2 Pt 2.10-2.12


[19]
VASP calculation (PBE-GGA) on RbAsPtO after structural relaxation.

- total moment (μB per atom) = 0.00
- energy above the most stable polymorph in this dataset (meV/atom) = 636

Lattice parameters (Å, degrees): 4.6185 4.6185 9.1257 90.00 90.00 90.00
With the nearest neighbours (Å) after each atom.
Fractional positions:
As1 0.2500 0.2500 0.0168  1 Pt 2.30, 4 O 2.31
As2 0.7500 0.7500 0.9832  1 Pt 2.30, 4 O 2.31
Rb1 0.2500 0.7500 0.5000  4 Pt 3.13, 4 Rb 3.27
Rb2 0.7500 0.2500 0.5000  4 Pt 3.13, 4 Rb 3.27
O1 0.2500 0.7500 0.0000  4 As 2.31
O2 0.7500 0.2500 0.0000  4 As 2.31
Pt1 0.7500 0.7500 0.7316  1 As 2.30
Pt2 0.2500 0.2500 0.2684  1 As 2.30


[20]
VASP calculation (PBE-GGA) on ReAsPtO after structural relaxation.

- total moment (μB per atom) = 0.00
- energy above the most stable polymorph in this dataset (meV/atom) = 522

Lattice parameters (Å, degrees): 3.5791 3.5791 8.9208 90.00 90.00 90.00
With the nearest neighbours (Å) after each atom.
Fractional positions:
Pt1 0.0000 0.0000 0.5000  4 Pt 2.53, 4 As 2.68
Pt2 0.5000 0.5000 0.5000  4 Pt 2.53, 4 As 2.68
Re1 0.0000 0.5000 0.8649  4 O 2.16
Re2 0.5000 0.0000 0.1351  4 O 2.16
O1 0.0000 0.0000 0.0000  4 Re 2.16
O2 0.5000 0.5000 0.0000  4 Re 2.16
As1 0.5000 0.0000 0.7241  4 Pt 2.68, 4 Re 2.83
As2 0.0000 0.5000 0.2759  4 Pt 2.68, 4 Re 2.83